w:
The following is a DFT calculation (SCAN) of a crystal of KTaMo2 relaxed with PBEsol.

Cell lengths 6.5875, 6.5875, 6.5875 Å; angles 90.00, 90.00, 90.00 degrees
With the nearest neighbours (Å) after each atom.
Space group F-43m (No. 216)
Unique sites:
K1 0.0000 0.0000 0.0000  4 Mo 2.85, 4 Ta 2.85
Ta1 0.2500 0.2500 0.7500  4 Mo 2.85, 4 K 2.85
Mo1 0.0000 0.0000 0.5000  4 Ta 2.85, 4 Mo 2.85
Mo2 0.2500 0.2500 0.2500  4 Mo 2.85, 4 K 2.85

Summary:
The calculation puts the total magnetization at 0.000 μB per formula unit.

x:
The following is a DFT calculation (SCAN) of a crystal of KTaMo2 relaxed with PBEsol.

Cell lengths 5.7979, 9.7904, 2.6212 Å; angles 90.00, 101.80, 90.00 degrees
With the nearest neighbours (Å) after each atom.
Space group C2/m (No. 12)
Unique sites:
K1 0.0000 0.0000 0.0000  2 K 2.62, 2 Ta 2.90
Ta1 0.0000 0.5000 0.0000  2 Ta 2.62, 2 K 2.90
Mo1 0.2500 0.2500 0.5000  4 Mo 2.62-2.90

Summary:
The calculation puts the total magnetization at 0.000 μB per formula unit.

If you had to name the least stable structure above, which would it be? It would be w.